Material: Li2VO2F2
Method: DFT, GGA+U
State: optimized geometry

abc: 5.0833 11.1902 5.1931
angles: 90.00 90.98 90.00
Sites, in units of the cell vectors:
Li1 0.0000 0.1312 0.0000
Li2 0.0000 0.8688 0.5000
Li3 0.4820 0.2145 0.0668
Li4 0.4820 0.7855 0.5668
Li5 0.4843 0.3623 0.5084
Li6 0.4843 0.6377 0.0084
Li7 0.9827 0.2873 0.5592
Li8 0.9827 0.7127 0.0592
V1 0.4714 0.0520 0.5628
V2 0.4714 0.9480 0.0628
V3 0.9907 0.4259 0.1039
V4 0.9907 0.5741 0.6039
O1 0.2206 0.3235 0.2204
O2 0.2206 0.6765 0.7204
O3 0.2650 0.0549 0.2328
O4 0.2650 0.9451 0.7328
O5 0.6819 0.0510 0.8858
O6 0.6819 0.9490 0.3858
O7 0.8053 0.4488 0.4080
O8 0.8053 0.5512 0.9080
F1 0.2084 0.4323 0.7403
F2 0.2084 0.5677 0.2403
F3 0.2480 0.1864 0.7304
F4 0.2480 0.8136 0.2304
F5 0.6684 0.1993 0.4295
F6 0.6684 0.8007 0.9295
F7 0.7797 0.3004 0.9242
F8 0.7797 0.6996 0.4242

Calculated values
**Raw total energy**: -168.12 eV per cell
**Space group**: Pc, No. 7